Here is a geometry-optimized BaIn9Hg2 structure from Alexandria via LeMat-Bulk. Energies are from GGA-PBE.

Values from the calculation:
**Density of states at the Fermi level**: 0.455 states/eV/atom
**Formation enthalpy at 0 K**: -0.11 eV per atom
**E**: -28.5 eV/f.u.

Cell lengths 8.4461, 10.0131, 10.0131 Å; angles 79.75, 65.05, 65.05 degrees
Element x y z (fractional)
Ba1 0.5000 0.0000 0.0000
Ba2 0.2500 0.5000 0.5000
In1 0.7500 0.5000 0.5000
In2 0.0000 0.0000 0.0000
In3 0.9963 0.9232 0.6772
In4 0.5967 0.0768 0.3228
In5 0.6695 0.1772 0.5768
In6 0.4235 0.8228 0.4232
In7 0.7537 0.8228 0.5768
In8 0.1533 0.1772 0.4232
In9 0.0805 0.9232 0.3228
In10 0.3265 0.0768 0.6772
In11 0.7537 0.5768 0.8228
In12 0.1533 0.4232 0.1772
In13 0.0805 0.3228 0.9232
In14 0.3265 0.6772 0.0768
In15 0.9963 0.6772 0.9232
In16 0.5967 0.3228 0.0768
In17 0.6695 0.5768 0.1772
In18 0.4235 0.4232 0.8228
Hg1 0.8750 0.2500 0.7500
Hg2 0.8750 0.7500 0.2500
Hg3 0.8750 0.2500 0.2500
Hg4 0.3750 0.7500 0.7500